No. 1
K2ZrPb | PBE | optimized geometry

Summary:
**Total magnetization**: 0.0 μB/cell
**Theoretical density**: 4.60 g/cm³
**DOS at the Fermi energy**: 4.14 states/eV per cell
**Excess energy over the best structure of this formula in the dataset**: 361 meV/atom
**Crystal system**: tetragonal

Structure (CIF):
```
data_K2ZrPb
_chemical_formula_sum 'K2 Zr1 Pb1'
_cell_length_a 3.256
_cell_length_b 3.256
_cell_length_c 12.825
_cell_angle_alpha 90.00
_cell_angle_beta 90.00
_cell_angle_gamma 90.00
_space_group_name_H-M_alt 'P 4/m m m'
_space_group_IT_number 123
_space_group_name_Hall '-P 4 2'
loop_
_atom_site_label
_atom_site_fract_x
_atom_site_fract_y
_atom_site_fract_z
K1 0.000 0.000 0.234
Zr1 0.500 0.500 0.500
Pb1 0.500 0.500 0.000
```

---

No. 2
ThSc2Sb3 | PBE | optimized geometry

Summary:
**Total magnetization**: 0.0 μB/cell
**Theoretical density**: 6.69 g/cm³
**DOS at the Fermi energy**: 3.95 states/eV per cell
**Crystal system**: tetragonal
**Uncorrected formation energy**: -0.882 eV/atom

Structure (CIF):
```
data_ThSc2Sb3
_chemical_formula_sum 'Th2 Sc4 Sb6'
_cell_length_a 4.344
_cell_length_b 4.344
_cell_length_c 18.068
_cell_angle_alpha 90.00
_cell_angle_beta 90.00
_cell_angle_gamma 90.00
_space_group_name_H-M_alt 'I 4/m m m'
_space_group_IT_number 139
_space_group_name_Hall '-I 4 2'
loop_
_atom_site_label
_atom_site_fract_x
_atom_site_fract_y
_atom_site_fract_z
Th1 0.000 0.000 0.000
Sc1 0.000 0.000 0.334
Sb1 0.000 0.000 0.174
Sb2 0.000 0.000 0.500
```

---

No. 3
PuCdTe2 | PBE | optimized geometry

Summary:
**Total magnetization**: 17.0 μB/cell
**Theoretical density**: 6.37 g/cm³
**DOS at the Fermi energy**: 37.70 states/eV per cell
**Excess energy over the best structure of this formula in the dataset**: 82 meV/atom
**Crystal system**: trigonal
**Uncorrected formation energy**: -0.506 eV/atom

Structure (CIF):
```
data_PuCdTe2
_chemical_formula_sum 'Pu3 Cd3 Te6'
_cell_length_a 4.5026
_cell_length_b 4.5026
_cell_length_c 27.2618
_cell_angle_alpha 90.00
_cell_angle_beta 90.00
_cell_angle_gamma 120.00
_space_group_name_H-M_alt 'R -3 m'
_space_group_IT_number 166
_space_group_name_Hall '-R 3 2"'
loop_
_atom_site_label
_atom_site_fract_x
_atom_site_fract_y
_atom_site_fract_z
Pu1 0.0000 0.0000 0.0000
Cd1 0.0000 0.0000 0.5000
Te1 0.0000 0.0000 0.3971
```

---

No. 4
Nd2PtO4 | PBE | optimized geometry

Summary:
**Total magnetization**: 0.0 μB/cell
**Theoretical density**: 8.67 g/cm³
**Crystal system**: orthorhombic
**Uncorrected formation energy**: -2.515 eV/atom

Structure (CIF):
```
data_Nd2PtO4
_chemical_formula_sum 'Nd8 Pt4 O16'
_cell_length_a 12.917
_cell_length_b 5.700
_cell_length_c 5.697
_cell_angle_alpha 90.00
_cell_angle_beta 90.00
_cell_angle_gamma 90.00
_space_group_name_H-M_alt 'C m c e'
_space_group_IT_number 64
_space_group_name_Hall '-C 2ac 2'
loop_
_atom_site_label
_atom_site_fract_x
_atom_site_fract_y
_atom_site_fract_z
Nd1 0.157 0.000 0.000
Pt1 0.000 0.000 0.500
O1 0.000 0.182 0.182
O2 0.250 0.241 0.750
```